Here is a relaxed structure of NiRuSe4 from Alexandria. Energies are from GGA-PBE.

Results
total magnetic moment = 0.00 Bohr magnetons per cell
VASP energy = -4.96 eV per atom
space-group type = C2/c (15)
volume = 19.0 Å³/atom

abc: 5.872 5.538 8.104
angles: 110.37 111.61 88.99
Atoms (fractional coordinates):
Se 0.678 0.517 0.402
Se 0.322 0.483 0.598
Se 0.616 0.835 0.101
Se 0.224 0.885 0.402
Se 0.384 0.165 0.899
Se 0.015 0.734 0.899
Se 0.985 0.266 0.101
Se 0.776 0.115 0.598
Ni 0.068 0.818 0.636
Ni 0.932 0.182 0.364
Ru 0.319 0.569 0.138
Ru 0.681 0.431 0.862

Here is a relaxed structure of NiRu2Se from Alexandria. Energies are from GGA-PBE.

Results
total magnetic moment = 0.00 Bohr magnetons per cell
VASP energy = -6.72 eV per atom
space-group type = Amm2 (38)
volume = 14.2 Å³/atom

abc: 3.796 2.858 5.412
angles: 74.70 90.00 90.00
Atoms (fractional coordinates):
Ni 0.500 0.698 0.729
Ru 0.000 0.062 0.002
Ru 0.500 0.448 0.228
Se 0.000 0.292 0.541

Here is a relaxed structure of NiRu3Se from Alexandria. Energies are from GGA-PBE.

Results
total magnetic moment = 3.39 Bohr magnetons per cell
VASP energy = -6.16 eV per atom
space-group type = Pm-3m (221)
volume = 18.1 Å³/atom

abc: 4.492 4.492 4.492
angles: 90.00 90.00 90.00
Atoms (fractional coordinates):
Ru 0.500 0.000 0.000
Ru 0.000 0.500 0.000
Ru 0.000 0.000 0.500
Se 0.000 0.000 0.000
Ni 0.500 0.500 0.500

Here is a relaxed structure of NiRu2Se from Alexandria. Energies are from GGA-PBE.

Results
total magnetic moment = 0.00 Bohr magnetons per cell
VASP energy = -6.47 eV per atom
space-group type = C2/m (12)
volume = 14.2 Å³/atom

abc: 5.106 5.106 2.841
angles: 75.53 75.53 118.33
Atoms (fractional coordinates):
Ru 0.000 0.000 0.000
Ru 0.500 0.500 0.000
Ni 0.000 0.500 0.500
Se 0.500 0.000 0.500

Here is a relaxed structure of Ni4RuSe from Alexandria. Energies are from GGA-PBE.

Results
total magnetic moment = 3.90 Bohr magnetons per cell
VASP energy = -5.61 eV per atom
space-group type = F-43m (216)
volume = 12.8 Å³/atom

abc: 4.771 4.771 4.771
angles: 60.00 60.00 60.00
Atoms (fractional coordinates):
Se 0.000 0.000 0.000
Ru 0.750 0.750 0.750
Ni 0.873 0.376 0.376
Ni 0.376 0.873 0.376
Ni 0.376 0.376 0.873
Ni 0.376 0.376 0.376

Here is a relaxed structure of NiRu2Se from Alexandria. Energies are from GGA-PBE.

Results
total magnetic moment = 0.00 Bohr magnetons per cell
VASP energy = -6.63 eV per atom
space-group type = P2/m (10)
volume = 14.2 Å³/atom

abc: 3.879 2.927 5.261
angles: 71.73 90.00 90.00
Atoms (fractional coordinates):
Ru 0.000 0.127 0.005
Ru 0.000 0.373 0.495
Ni 0.500 0.750 0.750
Se 0.500 0.250 0.250

Here is a relaxed structure of NiRu2Se from Alexandria. Energies are from GGA-PBE.

Results
total magnetic moment = 1.69 Bohr magnetons per cell
VASP energy = -6.32 eV per atom
space-group type = Cmmm (65)
volume = 14.5 Å³/atom

abc: 2.750 2.750 8.628
angles: 90.00 90.00 117.14
Atoms (fractional coordinates):
Ru 0.000 0.000 0.990
Ru 0.000 0.000 0.510
Ni 0.500 0.500 0.750
Se 0.500 0.500 0.250

Here is a relaxed structure of NiRu2Se from Alexandria. Energies are from GGA-PBE.

Results
total magnetic moment = 0.00 Bohr magnetons per cell
VASP energy = -6.65 eV per atom
space-group type = Imm2 (44)
volume = 13.8 Å³/atom

abc: 5.080 5.080 5.080
angles: 145.78 130.66 61.42
Atoms (fractional coordinates):
Ni 0.278 0.778 0.500
Se 0.498 0.498 0.000
Ru 0.727 0.227 0.500
Ru 0.996 0.996 0.000

Here is a relaxed structure of NiRu2Se from Alexandria. Energies are from GGA-PBE.

Results
total magnetic moment = 0.00 Bohr magnetons per cell
VASP energy = -6.57 eV per atom
space-group type = I-4m2 (119)
volume = 13.9 Å³/atom

abc: 4.673 4.673 4.673
angles: 131.77 131.77 70.59
Atoms (fractional coordinates):
Ni 0.750 0.250 0.500
Ru 0.250 0.750 0.500
Ru 0.000 0.000 0.000
Se 0.500 0.500 0.000

Here is a relaxed structure of NiRu3Se from Alexandria. Energies are from GGA-PBE.

Results
total magnetic moment = 6.39 Bohr magnetons per cell
VASP energy = -5.91 eV per atom
space-group type = Pm-3m (221)
volume = 18.4 Å³/atom

abc: 4.516 4.516 4.516
angles: 90.00 90.00 90.00
Atoms (fractional coordinates):
Ni 0.000 0.000 0.000
Se 0.500 0.500 0.500
Ru 0.000 0.500 0.000
Ru 0.000 0.000 0.500
Ru 0.500 0.000 0.000

Here is a relaxed structure of NiRu2Se from Alexandria. Energies are from GGA-PBE.

Results
total magnetic moment = 0.00 Bohr magnetons per cell
VASP energy = -6.70 eV per atom
space-group type = Pmm2 (25)
volume = 14.1 Å³/atom

abc: 2.862 3.571 5.529
angles: 90.00 90.00 90.00
Atoms (fractional coordinates):
Ni 0.500 0.500 0.746
Ru 0.000 0.000 0.994
Ru 0.500 0.500 0.222
Se 0.000 0.000 0.538

Here is a relaxed structure of NiRu2Se from Alexandria. Energies are from GGA-PBE.

Results
total magnetic moment = 0.00 Bohr magnetons per cell
VASP energy = -6.68 eV per atom
space-group type = R3m (160)
volume = 14.1 Å³/atom

abc: 8.260 8.260 8.260
angles: 19.76 19.76 19.76
Atoms (fractional coordinates):
Ru 0.249 0.249 0.249
Ru 0.000 0.000 0.000
Ni 0.754 0.754 0.754
Se 0.497 0.497 0.497

Here is a relaxed structure of NiRu2Se from Alexandria. Energies are from GGA-PBE.

Results
total magnetic moment = 1.37 Bohr magnetons per cell
VASP energy = -6.40 eV per atom
space-group type = Cmm2 (35)
volume = 14.5 Å³/atom

abc: 2.744 2.744 8.727
angles: 90.00 90.00 117.75
Atoms (fractional coordinates):
Se 0.000 0.000 0.511
Ru 0.500 0.500 0.245
Ru 0.000 0.000 0.994
Ni 0.500 0.500 0.750

Here is a relaxed structure of NiRuSe4 from Alexandria. Energies are from GGA-PBE.

Results
total magnetic moment = 4.04 Bohr magnetons per cell
VASP energy = -3.60 eV per atom
space-group type = F-43m (216)
volume = 19.9 Å³/atom

abc: 5.529 5.529 5.529
angles: 60.00 60.00 60.00
Atoms (fractional coordinates):
Se 0.126 0.625 0.625
Se 0.625 0.126 0.625
Se 0.625 0.625 0.625
Se 0.625 0.625 0.126
Ru 0.000 0.000 0.000
Ni 0.250 0.250 0.250

Here is a relaxed structure of NiRu2Se from Alexandria. Energies are from GGA-PBE.

Results
total magnetic moment = 0.00 Bohr magnetons per cell
VASP energy = -6.68 eV per atom
space-group type = P4/mmm (123)
volume = 13.7 Å³/atom

abc: 4.222 4.222 3.063
angles: 90.00 90.00 89.99
Atoms (fractional coordinates):
Se 0.500 0.000 0.500
Ni 0.000 0.500 0.500
Ru 0.500 0.500 0.000
Ru 0.000 0.000 0.000